The following is a DFT calculation (GGA-PBE) of a geometry-optimized Ac2ErScTe6 structure.

Properties
formation energy without anion corrections: -1.465 eV per atom

Cell and atoms, written as CIF:
```
data_Ac2ErScTe6
_cell_length_a 7.473
_cell_length_b 8.367
_cell_length_c 13.338
_cell_angle_alpha 90.00
_cell_angle_beta 123.61
_cell_angle_gamma 90.00
_symmetry_space_group_name_H-M 'P 1 21/c 1'
_symmetry_Int_Tables_number 14
_symmetry_space_group_name_Hall '-P 2ybc'
loop_
_atom_site_label
_atom_site_type_symbol
_atom_site_fract_x
_atom_site_fract_y
_atom_site_fract_z
Ac1 Ac 0.200 0.112 0.248
Er1 Er 0.500 0.000 0.000
Sc1 Sc 0.000 0.000 0.500
Te1 Te 0.104 0.186 0.941
Te2 Te 0.269 0.678 0.941
Te3 Te 0.373 0.026 0.744
```


The following is a DFT calculation (GGA-PBE) of a geometry-optimized Ac3Er3ScTe8 structure.

Properties
formation energy without anion corrections: -1.371 eV per atom

Cell and atoms, written as CIF:
```
data_Ac3Er3ScTe8
_cell_length_a 8.8575
_cell_length_b 8.8575
_cell_length_c 22.6762
_cell_angle_alpha 90.00
_cell_angle_beta 90.00
_cell_angle_gamma 120.00
_symmetry_space_group_name_H-M 'R -3 m'
_symmetry_Int_Tables_number 166
_symmetry_space_group_name_Hall '-R 3 2"'
loop_
_atom_site_label
_atom_site_type_symbol
_atom_site_fract_x
_atom_site_fract_y
_atom_site_fract_z
Ac1 Ac 0.0000 0.5000 0.0000
Er1 Er 0.0000 0.5000 0.5000
Sc1 Sc 0.0000 0.0000 0.5000
Te1 Te 0.0000 0.0000 0.2403
Te2 Te 0.9998 0.4999 0.2405
```


The following is a DFT calculation (GGA-PBE) of a geometry-optimized AcErScTl structure.

Properties
calculated formation energy: 0.09 eV/atom

Cell and atoms, written as CIF:
```
data_AcErScTl
_cell_length_a 7.774
_cell_length_b 7.774
_cell_length_c 7.774
_cell_angle_alpha 90.00
_cell_angle_beta 90.00
_cell_angle_gamma 90.00
_symmetry_space_group_name_H-M 'F -4 3 m'
_symmetry_Int_Tables_number 216
_symmetry_space_group_name_Hall 'F -4 2 3'
loop_
_atom_site_label
_atom_site_type_symbol
_atom_site_fract_x
_atom_site_fract_y
_atom_site_fract_z
Ac1 Ac 0.000 0.000 0.000
Er1 Er 0.250 0.250 0.250
Sc1 Sc 0.250 0.250 0.750
Tl1 Tl 0.000 0.000 0.500
```


The following is a DFT calculation (GGA-PBE) of a geometry-optimized AcErTmSc structure.

Properties
calculated formation energy: 0.12 eV/atom

Cell and atoms, written as CIF:
```
data_AcErTmSc
_cell_length_a 8.014
_cell_length_b 8.014
_cell_length_c 8.014
_cell_angle_alpha 90.00
_cell_angle_beta 90.00
_cell_angle_gamma 90.00
_symmetry_space_group_name_H-M 'F -4 3 m'
_symmetry_Int_Tables_number 216
_symmetry_space_group_name_Hall 'F -4 2 3'
loop_
_atom_site_label
_atom_site_type_symbol
_atom_site_fract_x
_atom_site_fract_y
_atom_site_fract_z
Ac1 Ac 0.000 0.000 0.000
Er1 Er 0.000 0.000 0.500
Tm1 Tm 0.250 0.250 0.750
Sc1 Sc 0.250 0.250 0.250
```


The following is a DFT calculation (GGA-PBE) of a geometry-optimized AcYErSc structure.

Properties
calculated formation energy: 0.12 eV/atom

Cell and atoms, written as CIF:
```
data_AcYErSc
_cell_length_a 8.063
_cell_length_b 8.063
_cell_length_c 8.063
_cell_angle_alpha 90.00
_cell_angle_beta 90.00
_cell_angle_gamma 90.00
_symmetry_space_group_name_H-M 'F -4 3 m'
_symmetry_Int_Tables_number 216
_symmetry_space_group_name_Hall 'F -4 2 3'
loop_
_atom_site_label
_atom_site_type_symbol
_atom_site_fract_x
_atom_site_fract_y
_atom_site_fract_z
Ac1 Ac 0.000 0.000 0.000
Y1 Y 0.000 0.000 0.500
Er1 Er 0.250 0.250 0.750
Sc1 Sc 0.250 0.250 0.250
```


The following is a DFT calculation (GGA-PBE) of a geometry-optimized AcEr6Se8 structure.

Properties
formation energy without anion corrections: -1.546 eV per atom

Cell and atoms, written as CIF:
```
data_AcEr6Se8
_cell_length_a 10.7490
_cell_length_b 10.7490
_cell_length_c 13.1397
_cell_angle_alpha 90.00
_cell_angle_beta 90.00
_cell_angle_gamma 120.00
_symmetry_space_group_name_H-M 'R -3'
_symmetry_Int_Tables_number 148
_symmetry_space_group_name_Hall '-R 3'
loop_
_atom_site_label
_atom_site_type_symbol
_atom_site_fract_x
_atom_site_fract_y
_atom_site_fract_z
Ac1 Ac 0.0000 0.0000 0.0000
Er1 Er 0.0197 0.8195 0.3919
Se1 Se 0.0000 0.0000 0.2454
Se2 Se 0.0015 0.6162 0.2532
```


The following is a DFT calculation (GGA-PBE) of a geometry-optimized Ac5Er3Se8 structure.

Properties
formation energy without anion corrections: -1.774 eV per atom

Cell and atoms, written as CIF:
```
data_Ac5Er3Se8
_cell_length_a 8.4558
_cell_length_b 8.4558
_cell_length_c 21.9760
_cell_angle_alpha 90.00
_cell_angle_beta 90.00
_cell_angle_gamma 120.00
_symmetry_space_group_name_H-M 'R -3 m'
_symmetry_Int_Tables_number 166
_symmetry_space_group_name_Hall '-R 3 2"'
loop_
_atom_site_label
_atom_site_type_symbol
_atom_site_fract_x
_atom_site_fract_y
_atom_site_fract_z
Ac1 Ac 0.0000 0.0000 0.0000
Ac2 Ac 0.0000 0.0000 0.5000
Ac3 Ac 0.0000 0.5000 0.0000
Er1 Er 0.0000 0.5000 0.5000
Se1 Se 0.0000 0.0000 0.2385
Se2 Se 0.0162 0.5081 0.7585
```


The following is a DFT calculation (GGA-PBE) of a geometry-optimized AcEr2Se4 structure.

Properties
formation energy without anion corrections: -1.904 eV per atom

Cell and atoms, written as CIF:
```
data_AcEr2Se4
_cell_length_a 4.146
_cell_length_b 13.393
_cell_length_c 13.919
_cell_angle_alpha 90.00
_cell_angle_beta 90.00
_cell_angle_gamma 90.00
_symmetry_space_group_name_H-M 'C m c m'
_symmetry_Int_Tables_number 63
_symmetry_space_group_name_Hall '-C 2c 2'
loop_
_atom_site_label
_atom_site_type_symbol
_atom_site_fract_x
_atom_site_fract_y
_atom_site_fract_z
Ac1 Ac 0.000 0.120 0.250
Er1 Er 0.000 0.371 0.063
Se1 Se 0.000 0.000 0.000
Se2 Se 0.000 0.269 0.617
Se3 Se 0.000 0.448 0.250
```


The following is a DFT calculation (GGA-PBE) of a geometry-optimized AcEr2Se5 structure.

Properties
formation energy without anion corrections: -1.724 eV per atom

Cell and atoms, written as CIF:
```
data_AcEr2Se5
_cell_length_a 7.730
_cell_length_b 7.730
_cell_length_c 13.448
_cell_angle_alpha 90.00
_cell_angle_beta 90.00
_cell_angle_gamma 90.00
_symmetry_space_group_name_H-M 'I 4/m c m'
_symmetry_Int_Tables_number 140
_symmetry_space_group_name_Hall '-I 4 2c'
loop_
_atom_site_label
_atom_site_type_symbol
_atom_site_fract_x
_atom_site_fract_y
_atom_site_fract_z
Ac1 Ac 0.000 0.000 0.250
Er1 Er 0.157 0.343 0.000
Se1 Se 0.000 0.000 0.000
Se2 Se 0.151 0.349 0.360
```


The following is a DFT calculation (GGA-PBE) of a geometry-optimized AcEr3Se6 structure.

Properties
formation energy without anion corrections: -1.925 eV per atom

Cell and atoms, written as CIF:
```
data_AcEr3Se6
_cell_length_a 11.667
_cell_length_b 4.195
_cell_length_c 11.961
_cell_angle_alpha 90.00
_cell_angle_beta 109.21
_cell_angle_gamma 90.00
_symmetry_space_group_name_H-M 'P 1 21/m 1'
_symmetry_Int_Tables_number 11
_symmetry_space_group_name_Hall '-P 2yb'
loop_
_atom_site_label
_atom_site_type_symbol
_atom_site_fract_x
_atom_site_fract_y
_atom_site_fract_z
Ac1 Ac 0.053 0.250 0.199
Er1 Er 0.160 0.250 0.590
Er2 Er 0.322 0.750 0.001
Er3 Er 0.449 0.250 0.335
Se1 Se 0.084 0.750 0.412
Se2 Se 0.126 0.250 0.965
Se3 Se 0.202 0.750 0.749
Se4 Se 0.276 0.750 0.232
Se5 Se 0.389 0.250 0.553
Se6 Se 0.480 0.250 0.112
```


The following is a DFT calculation (GGA-PBE) of a geometry-optimized AcErSe2 structure.

Properties
formation energy without anion corrections: -1.396 eV per atom
energy relative to the lowest polymorph listed for this composition: 0.3834 eV per atom

Cell and atoms, written as CIF:
```
data_AcErSe2
_cell_length_a 4.424
_cell_length_b 9.502
_cell_length_c 6.814
_cell_angle_alpha 90.00
_cell_angle_beta 90.00
_cell_angle_gamma 90.00
_symmetry_space_group_name_H-M 'P m n 21'
_symmetry_Int_Tables_number 31
_symmetry_space_group_name_Hall 'P 2ac -2'
loop_
_atom_site_label
_atom_site_type_symbol
_atom_site_fract_x
_atom_site_fract_y
_atom_site_fract_z
Ac1 Ac 0.000 0.094 0.000
Er1 Er 0.000 0.649 0.873
Se1 Se 0.000 0.416 0.143
Se2 Se 0.000 0.812 0.204
```


The following is a DFT calculation (GGA-PBE) of a geometry-optimized AcErSe2 structure.

Properties
formation energy without anion corrections: -1.473 eV per atom
energy relative to the lowest polymorph listed for this composition: 0.3058 eV per atom

Cell and atoms, written as CIF:
```
data_AcErSe2
_cell_length_a 7.395
_cell_length_b 7.395
_cell_length_c 7.395
_cell_angle_alpha 90.00
_cell_angle_beta 90.00
_cell_angle_gamma 90.00
_symmetry_space_group_name_H-M 'F m -3 m'
_symmetry_Int_Tables_number 225
_symmetry_space_group_name_Hall '-F 4 2 3'
loop_
_atom_site_label
_atom_site_type_symbol
_atom_site_fract_x
_atom_site_fract_y
_atom_site_fract_z
Ac1 Ac 0.000 0.000 0.000
Er1 Er 0.000 0.000 0.500
Se1 Se 0.250 0.250 0.250
```


no.,calculated volume (Å³ per atom)
1,34.7
2,34.2
3,29.4
4,32.2
5,32.8
6,29.2
7,28.3
8,27.6
9,25.1
10,27.6
11,35.8
12,25.3